This record from Alexandria describes KPtBr after structural relaxation. The functional is PBE-GGA.

Cell lengths 5.7479, 5.7479, 5.7479 Å; angles 135.83, 133.08, 66.40 degrees
Last column: nearest neighbours and their distance in Å.
Fractional coordinates of all 3 atoms:
1 Pt 0.7183 0.7183 0.0000  1 Br 2.36
2 K 0.3184 0.3184 0.0000  4 Pt 3.29, 5 Br 3.42-3.44
3 Br 0.9633 0.9633 0.0000  1 Pt 2.36

Total DFT energy (no corrections) ... -2.97 eV per atom
Distance to the lowest polymorph of the same formula ... 642 meV per atom
Fermi-level density of states ... 0.82 states/eV/atom
Total magnetization ... 0.03 μB/f.u.
Raw formation energy ... -0.030 eV per atom
Symmetry ... Imm2